Entry 1:
A geometry-optimized LiAlCd2 structure, computed with PBE.

```
4
Lattice="5.072 -0.067 0.000 -1.204 4.927 0.000 0.000 0.000 3.110" Properties=species:S:1:pos:R:3 pbc="T T T"
Cd 0.000 0.000 0.000
Al -0.602 2.464 1.555
Li 2.536 -0.033 1.555
Cd 1.934 2.430 0.000
```

Results
Formation energy from the elements = -6.4 kJ per mole of atoms
Calculated density = 5.55 g/cm³
Volume = 77.5 Å³/f.u.

Entry 2:
A geometry-optimized LiAl3Cd structure, computed with PBE.

```
5
Lattice="4.649 0.000 0.000 0.000 4.649 0.000 0.000 0.000 4.649" Properties=species:S:1:pos:R:3 pbc="T T T"
Al 0.000 2.325 0.000
Li 0.000 0.000 0.000
Cd 2.325 2.325 2.325
Al 2.325 0.000 0.000
Al 0.000 0.000 2.325
```

Results
Formation energy from the elements = 44.3 kJ per mole of atoms
Calculated density = 3.31 g/cm³
Volume = 100.5 Å³/f.u.